# BaPmTa

A relaxed structure of BaPmTa (PBE-GGA, the Open Quantum Materials Database).

```
3
Lattice="0.000 3.787 3.787 3.787 0.000 3.787 3.787 3.787 0.000" Properties=species:S:1:pos:R:3 pbc="T T T"
Ba 0.000 0.000 0.000
Pm 1.894 1.894 1.894
Ta 3.787 3.787 3.787
```

Summary:
**M_tot**: 3.24 μB/f.u.
**Energy relative to the lowest polymorph listed for this composition**: 0.000 eV/atom